No. 1
The following is a PBE calculation of a geometry-optimized Sn2HgS4 structure, from the Alexandria database.

For the total energy, the calculation gives -3.77 eV per atom. As for the density of states at the Fermi level: 7.04 states/eV per cell.

Cell: 7.9188 7.9220 8.0483 Å, 60.57 60.62 60.05°
Space group P-1 (No. 2)
Unique sites:
Sn (0.0000, 0.0000, 0.0000) x1
Sn (0.0000, 0.0000, 0.5000) x1
Sn (0.0000, 0.5000, 0.0000) x1
Sn (0.5000, 0.0000, 0.0000) x1
Hg (0.3766, 0.3761, 0.3714) x2
S (0.2247, 0.7469, 0.7817) x2
S (0.2430, 0.2423, 0.7721) x2
S (0.2534, 0.7752, 0.2187) x2
S (0.2536, 0.2524, 0.2186) x2



No. 2
The following is a PBE calculation of a geometry-optimized SnHgS2 structure, from the Alexandria database.

For the total energy, the calculation gives -3.33 eV per atom. As for the density of states at the Fermi level: 0.00 states/eV per cell.

Cell: 9.3474 9.3474 6.5421 Å, 90.00 90.00 90.00°
Space group I4/mcm (No. 140)
Unique sites:
Sn (0.0000, 0.5000, 0.2500) x4
Hg (0.0000, 0.0000, 0.2500) x4
S (0.1372, 0.3628, 0.0000) x8



No. 3
The following is a PBE calculation of a geometry-optimized SnHgS2 structure, from the Alexandria database.

For the total energy, the calculation gives -3.41 eV per atom. As for the density of states at the Fermi level: 0.00 states/eV per cell.

Cell: 3.6880 3.6880 10.0572 Å, 90.00 90.00 120.00°
Space group P3m1 (No. 156)
Unique sites:
Sn (0.0000, 0.0000, 0.0000) x1
Hg (0.3333, 0.6667, 0.4638) x1
S (0.3333, 0.6667, 0.8523) x1
S (0.6667, 0.3333, 0.1479) x1